(1)
Material: CdIn7Ga3
Method: DFT, PBE
State: relaxed

- total moment (μB/cell) = 0.0
- DOS at the Fermi energy (states/eV/f.u.) = 4.38
- crystal system = triclinic
- DFT formation energy (eV per formula unit) = 0.71

The structure in CIF format:
```
data_CdIn7Ga3
_space_group_name_H-M_alt 'P -1'
_space_group_IT_number 2
_cell_length_a 6.397
_cell_length_b 7.087
_cell_length_c 7.121
_cell_angle_alpha 92.24
_cell_angle_beta 110.29
_cell_angle_gamma 106.07
loop_
_space_group_symop_operation_xyz
'x,y,z'
'-x,-y,-z'
loop_
_atom_site_label
_atom_site_fract_x
_atom_site_fract_y
_atom_site_fract_z
_atom_site_occupancy
Cd1 0.000 0.000 0.000 1
In1 0.296 0.338 0.327 1
In2 0.311 0.841 0.809 1
In3 0.340 0.804 0.314 1
In4 0.500 0.500 0.000 1
Ga1 0.000 0.500 0.500 1
Ga2 0.115 0.168 0.651 1
```

=====

(2)
Material: ReP2PdS
Method: DFT, PBE
State: relaxed

- energy relative to the lowest polymorph listed for this composition (meV per atom) = 0
- total moment (μB/cell) = 0.0
- DOS at the Fermi energy (states/eV/f.u.) = 5.49
- crystal system = tetragonal
- formation energy from raw total energies (eV per atom) = 0.704

The structure in CIF format:
```
data_ReP2PdS
_space_group_name_H-M_alt 'P 4/m m m'
_space_group_IT_number 123
_space_group_name_Hall '-P 4 2'
_cell_length_a 4.645
_cell_length_b 4.645
_cell_length_c 4.565
_cell_angle_alpha 90.00
_cell_angle_beta 90.00
_cell_angle_gamma 90.00
loop_
_atom_site_label
_atom_site_fract_x
_atom_site_fract_y
_atom_site_fract_z
_atom_site_occupancy
Re1 0.000 0.000 0.000 1
P1 0.000 0.500 0.000 1
Pd1 0.500 0.500 0.500 1
S1 0.000 0.000 0.500 1
```

=====

(3)
Material: Y2CrSi
Method: DFT, PBE
State: relaxed

- total moment (μB/cell) = 5.7
- DOS at the Fermi energy (states/eV/f.u.) = 3.59
- crystal system = orthorhombic
- formation energy from raw total energies (eV per atom) = -0.261

The structure in CIF format:
```
data_Y2CrSi
_space_group_name_H-M_alt 'A m m 2'
_space_group_IT_number 38
_cell_length_a 4.116
_cell_length_b 4.094
_cell_length_c 10.960
_cell_angle_alpha 90.00
_cell_angle_beta 90.00
_cell_angle_gamma 90.00
loop_
_space_group_symop_operation_xyz
'x,y,z'
'-x,-y,z'
'-x,y,z'
'x,-y,z'
'x,y+1/2,z+1/2'
'-x,-y+1/2,z+1/2'
'-x,y+1/2,z+1/2'
'x,-y+1/2,z+1/2'
loop_
_atom_site_label
_atom_site_fract_x
_atom_site_fract_y
_atom_site_fract_z
_atom_site_occupancy
Y1 0.000 0.000 0.000 1
Y2 0.500 0.000 0.284 1
Cr1 0.500 0.000 0.576 1
Si1 0.000 0.000 0.709 1
```

=====

(4)
Material: RbBaNb
Method: DFT, PBE
State: relaxed

- energy relative to the lowest polymorph listed for this composition (meV per atom) = 270
- total moment (μB/cell) = 0.0
- DOS at the Fermi energy (states/eV/f.u.) = 3.13
- crystal system = triclinic
- DFT formation energy (eV per formula unit) = 2.18

The structure in CIF format:
```
data_RbBaNb
_space_group_name_H-M_alt 'P 1'
_space_group_IT_number 1
_cell_length_a 3.620
_cell_length_b 7.746
_cell_length_c 10.649
_cell_angle_alpha 109.91
_cell_angle_beta 96.91
_cell_angle_gamma 97.81
loop_
_space_group_symop_operation_xyz
'x,y,z'
loop_
_atom_site_label
_atom_site_fract_x
_atom_site_fract_y
_atom_site_fract_z
_atom_site_occupancy
Rb1 0.000 0.000 0.000 1
Rb2 0.041 0.569 0.139 1
Ba1 0.722 0.227 0.455 1
Ba2 0.788 0.799 0.599 1
Nb1 0.244 0.506 0.764 1
Nb2 0.501 0.257 0.763 1
```

=====

(5)
Material: HgBAsBr2
Method: DFT, PBE
State: relaxed

- energy relative to the lowest polymorph listed for this composition (meV per atom) = 659
- total moment (μB/cell) = 1.7
- DOS at the Fermi energy (states/eV/f.u.) = 2.05
- crystal system = tetragonal
- formation energy from raw total energies (eV per atom) = 1.303

The structure in CIF format:
```
data_HgBAsBr2
_space_group_name_H-M_alt 'P 4/m m m'
_space_group_IT_number 123
_space_group_name_Hall '-P 4 2'
_cell_length_a 5.645
_cell_length_b 5.645
_cell_length_c 5.265
_cell_angle_alpha 90.00
_cell_angle_beta 90.00
_cell_angle_gamma 90.00
loop_
_atom_site_label
_atom_site_fract_x
_atom_site_fract_y
_atom_site_fract_z
_atom_site_occupancy
Hg1 0.000 0.000 0.000 1
B1 0.500 0.500 0.500 1
As1 0.000 0.000 0.500 1
Br1 0.000 0.500 0.000 1
```

=====

(6)
Material: Sc2PaCoN4
Method: DFT, PBE
State: relaxed

- total moment (μB/cell) = 6.5
- DOS at the Fermi energy (states/eV/f.u.) = 3.41
- crystal system = orthorhombic
- formation energy from raw total energies (eV per atom) = -1.350

The structure in CIF format:
```
data_Sc2PaCoN4
_space_group_name_H-M_alt 'C m c m'
_space_group_IT_number 63
_space_group_name_Hall '-C 2c 2'
_cell_length_a 3.232
_cell_length_b 10.813
_cell_length_c 10.855
_cell_angle_alpha 90.00
_cell_angle_beta 90.00
_cell_angle_gamma 90.00
loop_
_atom_site_label
_atom_site_fract_x
_atom_site_fract_y
_atom_site_fract_z
_atom_site_occupancy
Sc1 0.000 0.129 0.051 1
Pa1 0.000 0.389 0.250 1
Co1 0.000 0.351 0.750 1
N1 0.000 0.047 0.250 1
N2 0.000 0.224 0.625 1
N3 0.000 0.500 0.000 1
```

=====

(7)
Material: Rb3Hg2Au2
Method: DFT, PBE
State: relaxed

- energy relative to the lowest polymorph listed for this composition (meV per atom) = 15
- total moment (μB/cell) = 0.0
- DOS at the Fermi energy (states/eV/f.u.) = 2.65
- crystal system = orthorhombic
- DFT formation energy (eV per formula unit) = -1.85

The structure in CIF format:
```
data_Rb3Hg2Au2
_space_group_name_H-M_alt 'I m m m'
_space_group_IT_number 71
_space_group_name_Hall '-I 2 2'
_cell_length_a 4.921
_cell_length_b 5.000
_cell_length_c 21.918
_cell_angle_alpha 90.00
_cell_angle_beta 90.00
_cell_angle_gamma 90.00
loop_
_atom_site_label
_atom_site_fract_x
_atom_site_fract_y
_atom_site_fract_z
_atom_site_occupancy
Rb1 0.000 0.000 0.000 1
Rb2 0.000 0.500 0.319 1
Hg1 0.000 0.500 0.140 1
Au1 0.000 0.000 0.436 1
```

=====

(8)
Material: Cs5Tl3Br12
Method: DFT, PBE
State: relaxed

- total moment (μB/cell) = 0.0
- DOS at the Fermi energy (states/eV/f.u.) = 26.19
- crystal system = cubic
- formation energy from raw total energies (eV per atom) = -0.946

The structure in CIF format:
```
data_Cs5Tl3Br12
_space_group_name_H-M_alt 'I a -3 d'
_space_group_IT_number 230
_space_group_name_Hall '-I 4bd 2c 3'
_cell_length_a 19.801
_cell_length_b 19.801
_cell_length_c 19.801
_cell_angle_alpha 90.00
_cell_angle_beta 90.00
_cell_angle_gamma 90.00
loop_
_atom_site_label
_atom_site_fract_x
_atom_site_fract_y
_atom_site_fract_z
_atom_site_occupancy
Cs1 0.000 0.000 0.000 1
Cs2 0.000 0.250 0.375 1
Tl1 0.000 0.250 0.125 1
Br1 0.020 0.104 0.646 1
```